Entry 1:
{
  "formula": "CsNiRhS3",
  "functional": "PBE",
  "state": "optimized geometry",
  "formation_energy_uncorrected_ev_per_atom": -0.61,
  "energy_ev_per_atom": -5.0050,
  "cell": [[8.638, 0.000, 0.000], [0.000, 3.727, 0.000], [-4.223, 0.000, 8.470]],
  "species": ["Cs", "Cs", "Ni", "Ni", "Rh", "Rh", "S", "S", "S", "S", "S", "S"],
  "frac_coords": [[0.239, 0.250, 0.256], [0.761, 0.750, 0.744], [0.084, 0.250, 0.598], [0.916, 0.750, 0.402], [0.318, 0.750, 0.850], [0.682, 0.250, 0.150], [0.138, 0.250, 0.851], [0.201, 0.750, 0.561], [0.493, 0.750, 0.130], [0.507, 0.250, 0.870], [0.799, 0.250, 0.439], [0.862, 0.750, 0.149]]
}

Entry 2:
{
  "formula": "CsAs2Pt",
  "functional": "PBE",
  "state": "optimized geometry",
  "relative_energy_mev_per_atom": 1033,
  "energy_ev_per_atom": -3.4428,
  "cell": [[0.000, 3.596, 3.596], [3.596, 0.000, 3.596], [3.596, 3.596, 0.000]],
  "species": ["Cs", "As", "As", "Pt"],
  "frac_coords": [[0.000, 0.000, 0.000], [0.250, 0.250, 0.250], [0.750, 0.750, 0.750], [0.500, 0.500, 0.500]]
}